(1)
## PmDyTeC (PBE-GGA)

Data for a relaxed structure of PmDyTeC.

POSCAR file:
```
PmDyTeC
1.0
1.935 1.117 7.209
-1.935 1.117 7.209
0.000 -2.235 7.209
Pm Dy Te C
1 1 1 1
Cartesian
0.000 0.000 0.000
0.000 0.000 17.126
0.000 0.000 4.887
0.000 0.000 8.613
```

Output
Space-group type: R3m, No. 160
ΔE_f (raw) (meV/atom): -797
Fermi-level density of states (states/eV/atom): 0.197

(2)
## InCSN2 (PBE-GGA)

Data for a relaxed structure of InCSN2.

POSCAR file:
```
InCSN2
1.0
3.629 0.000 0.000
0.000 3.629 0.000
0.000 0.000 3.921
In C S N
1 1 1 2
Cartesian
0.000 0.000 0.000
1.815 1.815 0.000
1.815 1.815 1.960
0.000 1.815 1.960
1.815 0.000 1.960
```

Output
Space-group type: P4/mmm, No. 123
ΔE_f (raw) (meV/atom): 1922
Polymorph energy (0 for the lowest one) (eV per atom): 0.000
Fermi-level density of states (states/eV/atom): 0.571

(3)
## ScBiN3 (PBE-GGA)

Data for a relaxed structure of ScBiN3.

POSCAR file:
```
ScBiN3
1.0
4.192 0.000 0.000
0.000 4.192 0.000
0.000 0.000 4.192
Sc Bi N
1 1 3
Cartesian
0.000 0.000 0.000
2.096 2.096 2.096
0.000 2.096 2.096
2.096 0.000 2.096
2.096 2.096 0.000
```

Output
Space-group type: Pm-3m, No. 221
ΔE_f (raw) (meV/atom): 1184
Fermi-level density of states (states/eV/atom): 0.599

(4)
## InSnIBr2 (PBE-GGA)

Data for a relaxed structure of InSnIBr2.

POSCAR file:
```
InSnIBr2
1.0
5.782 0.000 0.000
0.000 5.782 0.000
0.000 0.000 6.271
In Sn I Br
1 1 1 2
Cartesian
0.000 0.000 0.000
2.891 2.891 3.136
2.891 2.891 0.000
0.000 2.891 3.136
2.891 0.000 3.136
```

Output
Space-group type: P4/mmm, No. 123
ΔE_f (raw) (meV/atom): -552
Polymorph energy (0 for the lowest one) (eV per atom): 0.000
Fermi-level density of states (states/eV/atom): 0.008

(5)
## LiAlInRh (PBE-GGA)

Data for a relaxed structure of LiAlInRh.

POSCAR file:
```
LiAlInRh
1.0
0.000 3.149 3.149
3.149 0.000 3.149
3.149 3.149 0.000
Li Al In Rh
1 1 1 1
Cartesian
0.000 0.000 0.000
4.724 4.724 4.724
1.575 1.575 1.575
3.149 3.149 3.149
```

Output
Energy of formation from the pure elements (eV per atom): -0.504
Space-group type: F-43m, No. 216
Fermi-level density of states (states/eV/atom): 0.402

(6)
## NbReNi2Te (PBE-GGA)

Data for a relaxed structure of NbReNi2Te.

POSCAR file:
```
NbReNi2Te
1.0
4.465 0.000 0.000
0.000 4.465 0.000
0.000 0.000 5.163
Nb Re Ni Te
1 1 2 1
Cartesian
0.000 0.000 0.000
2.232 2.232 0.000
0.000 2.232 2.581
2.232 0.000 2.581
0.000 0.000 2.581
```

Output
Space-group type: P4/mmm, No. 123
ΔE_f (raw) (meV/atom): 1544
Fermi-level density of states (states/eV/atom): 0.773

no.,M_tot (μB/cell)
1,0.00
2,0.00
3,0.00
4,0.00
5,0.00
6,2.78